No. 1
The following is a GGA-PBE calculation of an optimized crystal structure of Sm6CuBi2, from the Alexandria database.

Output
E_form	-3.99	eV/f.u.
DOS at the Fermi energy	11.93	states/eV per cell

Cell lengths 4.148, 8.669, 8.669 Å; angles 120.00, 90.00, 90.00 degrees
Fractional positions:
Sm 0.000 0.000 0.241
Sm 0.500 0.594 0.000
Sm 0.500 0.000 0.594
Sm 0.000 0.241 0.000
Sm 0.000 0.759 0.759
Sm 0.500 0.406 0.406
Cu 0.500 0.000 0.000
Bi 0.000 0.667 0.333
Bi 0.000 0.333 0.667

No. 2
The following is a GGA-PBE calculation of an optimized crystal structure of Sm5Cu2Bi, from the Alexandria database.

Output
E_form	-2.60	eV/f.u.
DOS at the Fermi energy	15.88	states/eV per cell

Cell lengths 8.165, 8.165, 8.768 Å; angles 117.75, 117.75, 90.00 degrees
Fractional positions:
Sm 0.793 0.988 0.281
Sm 0.707 0.207 0.719
Sm 0.500 0.500 0.000
Sm 0.207 0.012 0.719
Sm 0.988 0.488 0.281
Sm 0.512 0.707 0.719
Sm 0.012 0.512 0.719
Sm 0.488 0.293 0.281
Sm 0.293 0.793 0.281
Sm 0.000 0.000 0.000
Cu 0.867 0.633 0.000
Cu 0.133 0.367 0.000
Cu 0.633 0.133 0.000
Cu 0.367 0.867 0.000
Bi 0.750 0.750 0.500
Bi 0.250 0.250 0.500

No. 3
The following is a GGA-PBE calculation of an optimized crystal structure of CuSnBi2, from the Alexandria database.

Output
E_form	0.77	eV/f.u.
DOS at the Fermi energy	5.06	states/eV per cell

Cell lengths 6.486, 6.486, 7.893 Å; angles 65.74, 65.74, 90.00 degrees
Fractional positions:
Sn 0.000 0.000 0.000
Sn 0.750 0.250 0.500
Bi 0.580 0.125 0.250
Bi 0.170 0.625 0.250
Bi 0.875 0.830 0.750
Bi 0.375 0.420 0.750
Cu 0.250 0.750 0.500
Cu 0.500 0.500 0.000

No. 4
The following is a GGA-PBE calculation of an optimized crystal structure of CuSn2Bi2, from the Alexandria database.

Output
E_form	0.70	eV/f.u.
DOS at the Fermi energy	5.71	states/eV per cell

Cell lengths 6.843, 6.843, 5.953 Å; angles 90.00, 90.00, 90.00 degrees
Fractional positions:
Sn 0.153 0.347 0.000
Sn 0.347 0.847 0.000
Sn 0.847 0.653 0.000
Sn 0.653 0.153 0.000
Cu 0.500 0.500 0.000
Cu 0.000 0.000 0.000
Bi 0.764 0.264 0.500
Bi 0.736 0.764 0.500
Bi 0.264 0.236 0.500
Bi 0.236 0.736 0.500

No. 5
The following is a GGA-PBE calculation of an optimized crystal structure of CuSnBi2, from the Alexandria database.

Output
E_form	0.60	eV/f.u.
DOS at the Fermi energy	1.96	states/eV per cell

Cell lengths 4.454, 4.454, 6.949 Å; angles 71.31, 71.31, 60.00 degrees
Fractional positions:
Cu 0.662 0.662 0.015
Sn 0.502 0.502 0.493
Bi 0.270 0.270 0.189
Bi 0.066 0.066 0.803

No. 6
The following is a GGA-PBE calculation of an optimized crystal structure of CuSn2Bi2, from the Alexandria database.

Output
E_form	1.20	eV/f.u.
DOS at the Fermi energy	5.23	states/eV per cell

Cell lengths 7.001, 7.001, 5.989 Å; angles 90.00, 90.00, 90.00 degrees
Fractional positions:
Sn 0.274 0.226 0.500
Sn 0.726 0.774 0.500
Sn 0.774 0.274 0.500
Sn 0.226 0.726 0.500
Bi 0.345 0.845 0.000
Bi 0.655 0.155 0.000
Bi 0.845 0.655 0.000
Bi 0.155 0.345 0.000
Cu 0.000 0.000 0.000
Cu 0.500 0.500 0.000

No. 7
The following is a GGA-PBE calculation of an optimized crystal structure of CuSnBi2, from the Alexandria database.

Output
E_form	1.38	eV/f.u.
DOS at the Fermi energy	2.28	states/eV per cell

Cell lengths 3.412, 3.412, 11.325 Å; angles 81.34, 81.34, 60.00 degrees
Fractional positions:
Bi 0.079 0.079 0.763
Bi 0.921 0.921 0.237
Cu 0.000 0.000 0.000
Sn 0.500 0.500 0.500

No. 8
The following is a GGA-PBE calculation of an optimized crystal structure of Sr3CuBi, from the Alexandria database.

Output
E_form	-2.05	eV/f.u.
DOS at the Fermi energy	6.83	states/eV per cell

Cell lengths 4.538, 9.170, 9.279 Å; angles 91.43, 90.00, 104.34 degrees
Fractional positions:
Sr 0.269 0.570 0.018
Sr 0.067 0.166 0.391
Sr 0.776 0.584 0.403
Sr 0.978 0.988 0.031
Sr 0.412 0.858 0.651
Sr 0.631 0.296 0.770
Bi 0.411 0.854 0.284
Bi 0.634 0.300 0.137
Cu 0.798 0.632 0.751
Cu 0.242 0.520 0.669

No. 9
The following is a GGA-PBE calculation of an optimized crystal structure of SrCu2Bi2, from the Alexandria database.

Output
E_form	-1.02	eV/f.u.
DOS at the Fermi energy	2.21	states/eV per cell

Cell lengths 4.582, 4.582, 6.984 Å; angles 70.85, 70.85, 90.00 degrees
Fractional positions:
Bi 0.369 0.369 0.263
Bi 0.631 0.631 0.737
Sr 0.000 0.000 0.000
Cu 0.250 0.750 0.500
Cu 0.750 0.250 0.500

No. 10
The following is a GGA-PBE calculation of an optimized crystal structure of SrCuBi3, from the Alexandria database.

Output
E_form	5.32	eV/f.u.
DOS at the Fermi energy	2.44	states/eV per cell

Cell lengths 6.084, 6.084, 6.084 Å; angles 90.00, 90.00, 90.00 degrees
Fractional positions:
Sr 0.000 0.000 0.000
Bi 0.000 0.500 0.000
Bi 0.500 0.000 0.000
Bi 0.000 0.000 0.500
Cu 0.500 0.500 0.500

No. 11
The following is a GGA-PBE calculation of an optimized crystal structure of SrCu3Bi, from the Alexandria database.

Output
E_form	5.97	eV/f.u.
DOS at the Fermi energy	3.23	states/eV per cell

Cell lengths 5.191, 5.191, 5.191 Å; angles 90.00, 90.00, 90.00 degrees
Fractional positions:
Cu 0.500 0.000 0.000
Cu 0.000 0.000 0.500
Cu 0.000 0.500 0.000
Bi 0.500 0.500 0.500
Sr 0.000 0.000 0.000

No. 12
The following is a GGA-PBE calculation of an optimized crystal structure of Sr3CuBi, from the Alexandria database.

Output
E_form	-1.14	eV/f.u.
DOS at the Fermi energy	5.82	states/eV per cell

Cell lengths 5.779, 5.779, 5.779 Å; angles 90.00, 90.00, 90.00 degrees
Fractional positions:
Sr 0.000 0.500 0.000
Sr 0.000 0.000 0.500
Sr 0.500 0.000 0.000
Cu 0.000 0.000 0.000
Bi 0.500 0.500 0.500

Number 1: size of the total moment 1.98 μB/cell. Number 2: size of the total moment 0.00 μB/cell. Number 3: size of the total moment 0.00 μB/cell. Number 4: size of the total moment 0.00 μB/cell. Number 5: size of the total moment 0.00 μB/cell. Number 6: size of the total moment 0.00 μB/cell. Number 7: size of the total moment 0.00 μB/cell. Number 8: size of the total moment 0.00 μB/cell. Number 9: size of the total moment 0.00 μB/cell. Number 10: size of the total moment 0.00 μB/cell. Number 11: size of the total moment 0.00 μB/cell. Number 12: size of the total moment 0.00 μB/cell.